Entry 1:
Sr2LiAlF after structural relaxation. Source: Alexandria via LeMat-Bulk, functional PBE.

It has space group P4/mmm (No. 123), with a = 5.4585 Å, b = 5.4585 Å, c = 4.1605 Å, α = 90.00°, β = 90.00° and γ = 90.00°. The inequivalent atoms are Sr at (0.0000, 0.5000, 0.0000), Li at (0.0000, 0.0000, 0.5000), Al at (0.5000, 0.5000, 0.5000) and F at (0.0000, 0.0000, 0.0000).

The uncorrected formation energy comes out at -1175.2 meV/atom. Its final energy is -3.35 eV per atom. The value obtained for the total magnetization is 0.0 μB per formula unit.

---

Entry 2:
Li2TbAlF8 after structural relaxation. Source: Alexandria via LeMat-Bulk, functional PBE.

It has space group P2/m (No. 10), with a = 4.6919 Å, b = 6.4872 Å, c = 4.6967 Å, α = 90.00°, β = 91.19° and γ = 90.00°. The inequivalent atoms are Li at (0.0000, 0.2226, 0.0000), Tb at (0.5000, 0.5000, 0.5000), Al at (0.5000, 0.0000, 0.5000), F at (0.1796, 0.5000, 0.8164), F at (0.2304, 0.0000, 0.7676) and F at (0.3092, 0.2125, 0.3074).

The uncorrected formation energy comes out at -3487.4 meV/atom. Its final energy is -5.75 eV per atom. The value obtained for the total magnetization is 0.0 μB per formula unit.

---

Entry 3:
LiAl2TcF after structural relaxation. Source: Alexandria via LeMat-Bulk, functional PBE.

It has space group P4/mmm (No. 123), with a = 4.3833 Å, b = 4.3833 Å, c = 4.0394 Å, α = 90.00°, β = 90.00° and γ = 90.00°. The inequivalent atoms are Li at (0.0000, 0.0000, 0.0000), Al at (0.0000, 0.5000, 0.0000), Tc at (0.0000, 0.0000, 0.5000) and F at (0.5000, 0.5000, 0.5000).

The uncorrected formation energy comes out at 615.8 meV/atom. Its final energy is -3.71 eV per atom. The value obtained for the total magnetization is 1.5 μB per formula unit.